Record 1
# Th3Ge3Pt (PBE, optimized geometry)
data_Th3Ge3Pt
_chemical_formula_sum 'Th12 Ge12 Pt4'
_cell_length_a 10.9647
_cell_length_b 4.3787
_cell_length_c 14.9035
_cell_angle_alpha 90.00
_cell_angle_beta 111.31
_cell_angle_gamma 90.00
_space_group_name_H-M_alt 'C 1 2/m 1'
_space_group_IT_number 12
loop_
_space_group_symop_operation_xyz
'x,y,z'
'-x,-y,-z'
'-x,y,-z'
'x,-y,z'
'x+1/2,y+1/2,z'
'-x+1/2,-y+1/2,-z'
'-x+1/2,y+1/2,-z'
'x+1/2,-y+1/2,z'
loop_
_atom_site_label
_atom_site_fract_x
_atom_site_fract_y
_atom_site_fract_z
Th1 0.0349 0.0000 0.3828
Th2 0.1007 0.0000 0.9213
Th3 0.2409 0.0000 0.2304
Ge1 0.0203 0.5000 0.2350
Ge2 0.1209 0.5000 0.0741
Ge3 0.1368 0.5000 0.5389
Pt1 0.2485 0.5000 0.3861
# - ΔH_f (0 K): -879 meV/atom
# - Crystal system: monoclinic

=====

Record 2
# CsNaPd3 (PBE, optimized geometry)
data_CsNaPd3
_chemical_formula_sum 'Cs1 Na1 Pd3'
_cell_length_a 5.4143
_cell_length_b 5.4143
_cell_length_c 5.4143
_cell_angle_alpha 90.00
_cell_angle_beta 90.00
_cell_angle_gamma 90.00
_space_group_name_H-M_alt 'P m -3 m'
_space_group_IT_number 221
_space_group_name_Hall '-P 4 2 3'
loop_
_atom_site_label
_atom_site_fract_x
_atom_site_fract_y
_atom_site_fract_z
Cs1 0.0000 0.0000 0.0000
Na1 0.5000 0.5000 0.5000
Pd1 0.0000 0.0000 0.5000
# - ΔH_f (0 K): 1037 meV/atom
# - E above lowest polymorph: 388 meV per atom
# - Crystal system: cubic

=====

Number 1: M_tot 0.0000 μB per atom. Number 2: M_tot 0.0000 μB per atom.